The following is a DFT calculation (PBE) of BeTl after structural relaxation.

Summary:
ΔE_f: 0.796 eV per atom
DOS(E_F): 0.4701 states/eV per atom
Polymorph energy (0 for the lowest one): 34.6 kJ per mole of atoms
E: -2.250 eV/atom

Cell: 3.8108 3.8108 3.8108 Å, 60.00 60.00 60.00°
Last column: nearest neighbours and their distance in Å.
Sites, in units of the cell vectors:
Be: 0.0000 0.0000 0.0000  6 Tl 2.69
Tl: 0.5000 0.5000 0.5000  6 Be 2.69